Compound: YReW2O8
Source: Alexandria via LeMat-Bulk
Functional: PBE with a Hubbard U
Structure: relaxed

Density of states at the Fermi level ... 0.298 states/eV per atom
Crystal system ... monoclinic
SG ... P2/c, No. 13
Final energy ... -8.157 eV per atom
Relative energy among the computed polymorphs ... 0 meV/atom

Cell lengths 5.4458, 5.8323, 10.9092 Å; angles 90.00, 118.34, 90.00 degrees
Positions (direct):
Y 0.0000 0.1596 0.2500
Y 0.0000 0.8404 0.7500
Re 0.5000 0.1580 0.7500
Re 0.5000 0.8420 0.2500
W 0.2560 0.3495 0.0012
W 0.2560 0.6505 0.5012
W 0.7440 0.3495 0.4988
W 0.7440 0.6505 0.9988
O 0.2087 0.3898 0.6193
O 0.2087 0.6102 0.1193
O 0.2406 0.0891 0.1285
O 0.2406 0.9109 0.6285
O 0.3011 0.1463 0.8592
O 0.3011 0.8537 0.3592
O 0.3130 0.3865 0.3955
O 0.3130 0.6135 0.8955
O 0.6870 0.3865 0.1045
O 0.6870 0.6135 0.6045
O 0.6989 0.1463 0.6408
O 0.6989 0.8537 0.1408
O 0.7594 0.0891 0.3715
O 0.7594 0.9109 0.8715
O 0.7913 0.3898 0.8807
O 0.7913 0.6102 0.3807